Record 1
A geometry-optimized Sn2H3F4 structure. Source: the Alexandria database, functional GGA-PBE.

The structure in POSCAR format:
```
Sn2H3F4
1.0
-2.915 -1.623 2.688
6.598 -4.325 1.130
8.451 -4.488 6.455
H F Sn
3 4 2
direct
0.550 0.100 0.717
0.450 0.900 0.283
0.000 0.000 0.000
0.822 0.643 0.606
0.318 0.636 0.790
0.178 0.357 0.394
0.682 0.364 0.210
0.342 0.684 0.559
0.658 0.316 0.441
```

Properties
Its total energy is -36.588 eV/f.u. The calculated density is 3.784 g/cm³. The density of states at the Fermi level is 0.348 states/eV/atom.


Record 2
A geometry-optimized La3Y2Ho4 structure. Source: the Alexandria database, functional GGA-PBE.

The structure in POSCAR format:
```
La3Y2Ho4
1.0
-5.247 1.081 -3.624
2.302 -7.143 -6.197
-5.415 -6.127 5.279
Ho Y La
8 4 6
direct
0.941 0.772 0.654
0.585 0.972 0.834
0.059 0.228 0.346
0.559 0.346 0.228
0.915 0.166 0.028
0.415 0.028 0.166
0.085 0.834 0.972
0.441 0.654 0.772
0.106 0.541 0.180
0.894 0.459 0.820
0.606 0.180 0.541
0.394 0.820 0.459
0.750 0.532 0.468
0.893 0.900 0.315
0.607 0.685 0.100
0.250 0.468 0.532
0.107 0.100 0.685
0.393 0.315 0.900
```

Properties
The calculated density is 6.811 g/cm³. The energy above the most stable polymorph in this dataset is 85 meV per atom. The density of states at the Fermi level is 1.225 states/eV/atom.


Question: What is the calculated density in the second record?
Answer: 6.811 g/cm³